# 1
11
Lattice="6.130 0.000 0.000 -3.065 5.308 0.000 0.000 0.000 11.660" Properties=species:S:1:pos:R:3 comment="Tb5Pm5Ho | the Alexandria database | PBE | optimized geometry" delta_e_f_ev_per_atom=0.30 pbc="T T T"
Tb 0.000 0.000 2.741
Tb 0.000 0.000 8.919
Tb 1.541 0.890 0.000
Tb 4.589 0.890 0.000
Tb 3.065 3.529 0.000
Pm 0.000 0.000 5.830
Pm 0.000 3.539 2.137
Pm 0.000 3.539 9.523
Pm 3.065 1.769 4.023
Pm 3.065 1.769 7.636
Ho 0.000 3.539 5.830



# 2
6
Lattice="2.023 -5.932 0.000 2.023 5.932 0.000 0.000 0.000 4.868" Properties=species:S:1:pos:R:3 comment="PaSiTc | the Alexandria database | PBE | optimized geometry" e_form_raw_ev_per_atom=-0.0284 pbc="T T T"
Pa 2.023 3.417 3.651
Pa 2.023 -3.417 1.217
Si 0.000 0.000 0.000
Si 0.000 0.000 2.434
Tc 2.023 1.067 3.651
Tc 2.023 -1.067 1.217



# 3
4
Lattice="5.488 0.000 0.000 0.000 5.488 0.000 0.000 0.000 3.157" Properties=species:S:1:pos:R:3 comment="Ca2ReBr | the Alexandria database | PBE | optimized geometry" e_form_raw_ev_per_atom=0.1203 pbc="T T T"
Ca 0.000 2.744 0.000
Ca 2.744 0.000 0.000
Re 0.000 0.000 1.578
Br 2.744 2.744 1.578



# 4
11
Lattice="8.672 0.000 0.000 0.000 5.346 0.000 -0.520 0.000 10.834" Properties=species:S:1:pos:R:3 comment="Rb4Na5Au2 | the Alexandria database | PBE | optimized geometry" delta_e_f_ev_per_atom=-0.08 pbc="T T T"
Rb 1.525 0.000 3.712
Rb 1.354 0.000 10.036
Rb 6.798 0.000 0.798
Rb 6.627 0.000 7.122
Na 0.911 2.673 7.105
Na 3.629 2.673 1.723
Na 4.076 2.673 5.417
Na 4.523 2.673 9.111
Na 7.241 2.673 3.729
Au 0.537 2.673 1.355
Au 7.615 2.673 9.479



# 5
18
Lattice="6.916 0.000 0.000 -3.458 5.990 0.000 0.000 0.000 13.971" Properties=species:S:1:pos:R:3 comment="PmMgTlCl6 | the Alexandria database | PBE | optimized geometry" e_form_raw_ev_per_atom=-1.8692 pbc="T T T"
Pm 0.000 3.993 3.493
Pm 3.458 1.997 10.479
Mg 0.000 3.993 10.479
Mg 3.458 1.997 3.493
Tl 0.000 0.000 0.000
Tl 0.000 0.000 6.986
Cl -1.184 2.303 8.993
Cl -2.056 3.813 11.964
Cl 1.184 2.303 11.964
Cl -0.872 5.863 8.993
Cl 2.587 0.126 2.007
Cl 1.403 2.177 4.978
Cl 2.056 3.813 8.993
Cl 0.872 5.863 11.964
Cl 4.330 0.126 4.978
Cl 2.274 3.687 2.007
Cl 5.514 2.177 2.007
Cl 4.642 3.687 4.978



# 6
6
Lattice="2.434 -7.511 0.000 2.434 7.511 0.000 0.000 0.000 4.786" Properties=species:S:1:pos:R:3 comment="Th5Si | the Alexandria database | PBE | optimized geometry" e_form_raw_ev_per_atom=-0.0510 pbc="T T T"
Th 0.000 0.000 0.000
Th 2.434 5.145 2.393
Th 2.434 2.372 0.000
Th 2.434 -2.372 0.000
Th 2.434 -5.145 2.393
Si 2.434 0.000 2.393



# 7
4
Lattice="1.693 0.977 11.263 -1.693 0.977 11.263 0.000 -1.955 11.263" Properties=species:S:1:pos:R:3 comment="Pm2TlV | the Alexandria database | PBE | optimized geometry" delta_e_f_ev_per_atom=0.53 pbc="T T T"
Pm 0.000 0.000 2.839
Pm 0.000 0.000 30.950
Tl 0.000 0.000 16.894
V 0.000 0.000 0.000



# 8
12
Lattice="-3.327 3.327 6.652 3.327 -3.327 6.652 3.327 3.327 -6.652" Properties=species:S:1:pos:R:3 comment="Pu4TcOs | the Alexandria database | PBE | optimized geometry" delta_e_f_ev_per_atom=0.20 pbc="T T T"
Pu 1.665 0.000 0.000
Pu 4.990 0.000 0.000
Pu 1.664 3.329 -3.326
Pu 1.664 0.001 3.326
Pu 1.665 3.327 0.000
Pu 1.662 0.000 6.652
Pu -1.664 3.326 3.326
Pu 1.664 3.326 3.326
Tc 3.327 1.664 1.663
Tc 0.000 1.664 4.989
Os 3.327 -1.664 4.989
Os 0.000 4.991 1.663



Summary of total moment in μB/cell
0.00; 0.00; 0.75; 0.00; 0.00; 0.00; 3.06; 42.13
(order as listed above)